The following is a GGA+U calculation of crystalline KCdNiF6 at its relaxed geometry, from the Alexandria database.

## Properties
E_tot (eV per cell): -69.75
Theoretical density (g cm⁻³): 3.590
Space group: P-31c

Cell lengths 5.661, 5.661, 10.804 Å; angles 90.00, 90.00, 120.00 degrees
Sites, in units of the cell vectors:
F (0.044, 0.649, 0.851)
F (0.351, 0.396, 0.851)
Ni (0.333, 0.667, 0.750)
F (0.396, 0.044, 0.149)
Ni (0.667, 0.333, 0.250)
F (0.956, 0.604, 0.351)
F (0.396, 0.351, 0.351)
K (0.000, 0.000, 0.000)
F (0.604, 0.649, 0.649)
K (0.000, 0.000, 0.500)
Cd (0.667, 0.333, 0.750)
F (0.649, 0.044, 0.351)
F (0.649, 0.604, 0.149)
F (0.956, 0.351, 0.149)
F (0.044, 0.396, 0.649)
Cd (0.333, 0.667, 0.250)
F (0.351, 0.956, 0.649)
F (0.604, 0.956, 0.851)